[1]
Compound: CrSiOs2
Source: Alexandria
Functional: PBE-GGA
Structure: relaxed

It has space group Immm (No. 71), with a = 2.6534 Å, b = 4.0847 Å, c = 11.2812 Å, α = 90.00°, β = 90.00° and γ = 90.00°. The inequivalent atoms are Cr at (0.0000, 0.0000, 0.0000), Si at (0.0000, 0.0000, 0.5000) and Os at (0.0000, 0.0000, 0.2098).

For the magnetization, the calculation gives 0.000 μB/cell. The value obtained for the uncorrected formation energy is 0.4923 eV per atom.

---

[2]
Compound: CrSiOs2
Source: Alexandria
Functional: PBE-GGA
Structure: relaxed

It has space group P4/mmm (No. 123), with a = 4.2284 Å, b = 4.2284 Å, c = 2.9558 Å, α = 90.00°, β = 90.00° and γ = 90.00°. The inequivalent atoms are Cr at (0.0000, 0.0000, 0.0000), Si at (0.5000, 0.5000, 0.0000) and Os at (0.0000, 0.5000, 0.5000).

For the magnetization, the calculation gives 1.988 μB/cell. The value obtained for the uncorrected formation energy is -0.1434 eV per atom.

---

[3]
Compound: CrSi2Os
Source: Alexandria
Functional: PBE-GGA
Structure: relaxed

It has space group C2/m (No. 12), with a = 7.9952 Å, b = 2.8630 Å, c = 4.6771 Å, α = 90.00°, β = 99.37° and γ = 90.00°. The inequivalent atoms are Cr at (0.0000, 0.0000, 0.0000), Si at (0.2453, 0.0000, 0.7483) and Os at (0.0000, 0.5000, 0.5000).

For the magnetization, the calculation gives 4.646 μB/cell. The value obtained for the uncorrected formation energy is -0.1019 eV per atom.

---

[4]
Compound: CrSi2Os
Source: Alexandria
Functional: PBE-GGA
Structure: relaxed

It has space group Cm (No. 8), with a = 8.5774 Å, b = 2.8790 Å, c = 4.3110 Å, α = 90.00°, β = 107.34° and γ = 90.00°. The inequivalent atoms are Cr at (0.0000, 0.0000, 0.0000), Si at (0.2456, 0.5000, 0.1429), Si at (0.4976, 0.0000, 0.4770) and Os at (0.2451, 0.0000, 0.6349).

For the magnetization, the calculation gives 1.665 μB/cell. The value obtained for the uncorrected formation energy is -0.2623 eV per atom.

---

[5]
Compound: CrSiOs2
Source: Alexandria
Functional: PBE-GGA
Structure: relaxed

It has space group I-4m2 (No. 119), with a = 3.6601 Å, b = 3.6601 Å, c = 7.9728 Å, α = 90.00°, β = 90.00° and γ = 90.00°. The inequivalent atoms are Cr at (0.0000, 0.0000, 0.0000), Si at (0.0000, 0.5000, 0.2500), Os at (0.0000, 0.0000, 0.5000) and Os at (0.0000, 0.5000, 0.7500).

For the magnetization, the calculation gives 2.983 μB/cell. The value obtained for the uncorrected formation energy is 0.0072 eV per atom.

---

[6]
Compound: CrSiOs2
Source: Alexandria
Functional: PBE-GGA
Structure: relaxed

It has space group C2/m (No. 12), with a = 8.4023 Å, b = 2.7636 Å, c = 4.7146 Å, α = 90.00°, β = 99.89° and γ = 90.00°. The inequivalent atoms are Cr at (0.0000, 0.0000, 0.0000), Si at (0.0000, 0.5000, 0.5000) and Os at (0.2473, 0.5000, 0.2496).

For the magnetization, the calculation gives 2.370 μB/cell. The value obtained for the uncorrected formation energy is 0.0067 eV per atom.

---

[7]
Compound: CrSiOs2
Source: Alexandria
Functional: PBE-GGA
Structure: relaxed

It has space group R3m (No. 160, hexagonal axes), with a = 2.7128 Å, b = 2.7128 Å, c = 25.0809 Å, α = 90.00°, β = 90.00° and γ = 120.00°. The inequivalent atoms are Cr at (0.0000, 0.0000, 0.0000), Si at (0.0000, 0.0000, 0.2551), Os at (0.0000, 0.0000, 0.5074) and Os at (0.0000, 0.0000, 0.7474).

For the magnetization, the calculation gives 0.000 μB/cell. The value obtained for the uncorrected formation energy is 0.0197 eV per atom.

---

[8]
Compound: TaCrSi2Os5
Source: Alexandria
Functional: PBE-GGA
Structure: relaxed

It has space group P4/mmm (No. 123), with a = 3.9259 Å, b = 3.9259 Å, c = 11.7994 Å, α = 90.00°, β = 90.00° and γ = 90.00°. The inequivalent atoms are Ta at (0.0000, 0.0000, 0.0000), Cr at (0.5000, 0.5000, 0.5000), Si at (0.5000, 0.5000, 0.2890), Os at (0.0000, 0.5000, 0.1634) and Os at (0.5000, 0.5000, 0.0000).

For the magnetization, the calculation gives 4.834 μB/cell. The value obtained for the uncorrected formation energy is 0.4571 eV per atom.